! PBE Na2Cu3Cl8, optimized geometry; values from VASP
! * N(E_F): 9.351 states/eV/cell
! * volume: 299.4 Å³/cell
! * raw formation energy: -0.829 eV/atom
! * space group: C2/m, No. 12
&SYSTEM
  ibrav = 0, nat = 13, ntyp = 3
/
ATOMIC_SPECIES
Cl 35.45 Cl.upf
Na 22.99 Na.upf
Cu 63.55 Cu.upf
CELL_PARAMETERS angstrom
6.1166 0.0000 0.0559
0.0000 7.5964 0.0000
-2.3836 -3.7982 6.4219
ATOMIC_POSITIONS angstrom
Cl -1.4518 0.0000 5.0168
Na 2.8765 3.7982 3.0017
Cu 0.0000 2.0586 0.0000
Cu 0.0000 5.5378 0.0000
Na 0.8566 0.0000 3.4762
Cl 1.9205 2.0416 5.0863
Cu 3.0583 0.0000 0.0280
Cl 1.8126 5.8398 1.3915
Cl 1.9205 -2.0416 5.0863
Cl 4.8926 0.0000 1.3751
Cl -1.1596 3.7982 5.1028
Cl 1.8126 1.7566 1.3915
Cl 5.1849 3.7982 1.4611